Entry w
# MgB2Rh2

Crystalline MgB2Rh2 at its relaxed geometry (PBE-GGA, Alexandria via LeMat-Bulk).

Unit cell a=3.001 b=3.001 c=6.850 alpha=77.35 beta=77.35 gamma=90.00
Sites, in units of the cell vectors:
Mg: 0.000 0.000 0.000
Rh: 0.632 0.632 0.736
B: 0.250 0.750 0.500
B: 0.750 0.250 0.500
Rh: 0.368 0.368 0.264

Values from the calculation:
Space group = I4/mmm, No. 139
Total magnetic moment = 0.00 μB per cell
ρ = 7.13 Mg/m³

---

Entry x
# MgB2Rh2

Crystalline MgB2Rh2 at its relaxed geometry (PBE-GGA, Alexandria via LeMat-Bulk).

Unit cell a=6.248 b=6.248 c=2.795 alpha=90.00 beta=90.00 gamma=90.00
Sites, in units of the cell vectors:
Rh: 0.817 0.317 0.500
B: 0.602 0.102 0.000
Rh: 0.183 0.683 0.500
Rh: 0.683 0.817 0.500
Rh: 0.317 0.183 0.500
B: 0.398 0.898 0.000
Mg: 0.000 0.000 0.000
B: 0.898 0.602 0.000
B: 0.102 0.398 0.000
Mg: 0.500 0.500 0.000

Values from the calculation:
Space group = P4/mbm, No. 127
Total magnetic moment = 0.00 μB per cell
ρ = 7.66 Mg/m³

---

It is entry x that is the least stable of them.

---

Entry w
# MgBS

Crystalline MgBS at its relaxed geometry (PBE-GGA, Alexandria via LeMat-Bulk).

Unit cell a=3.758 b=3.758 c=8.654 alpha=77.46 beta=77.46 gamma=60.00
Sites, in units of the cell vectors:
B: 0.178 0.178 0.465
B: 0.822 0.822 0.535
Mg: 0.559 0.559 0.323
S: 0.739 0.739 0.784
Mg: 0.441 0.441 0.677
S: 0.261 0.261 0.216

Values from the calculation:
Space group = R-3m, No. 166
Total magnetic moment = 0.00 μB per cell
ρ = 2.18 Mg/m³

---

Entry x
# MgBS

Crystalline MgBS at its relaxed geometry (PBE-GGA, Alexandria via LeMat-Bulk).

Unit cell a=7.865 b=3.322 c=7.372 alpha=90.00 beta=96.80 gamma=90.00
Sites, in units of the cell vectors:
S: 0.881 0.000 0.242
Mg: 0.309 0.000 0.588
B: 0.113 0.749 0.308
S: 0.493 0.000 0.936
B: 0.113 0.751 0.808
Mg: 0.721 0.000 0.514
S: 0.881 0.500 0.742
B: 0.113 0.249 0.808
Mg: 0.721 0.500 0.014
Mg: 0.309 0.500 0.088
S: 0.493 0.500 0.436
B: 0.113 0.251 0.308

Values from the calculation:
Space group = Cm, No. 8
Total magnetic moment = 0.00 μB per cell
ρ = 2.33 Mg/m³

---

It is entry w that is the least stable of them.

---

Entry w
# MgBS

Crystalline MgBS at its relaxed geometry (PBE-GGA, Alexandria via LeMat-Bulk).

Unit cell a=3.336 b=4.066 c=7.888 alpha=80.17 beta=78.06 gamma=65.86
Sites, in units of the cell vectors:
Mg: 0.457 0.573 0.820
S: 0.692 0.914 0.012
Mg: 0.832 0.219 0.412
S: 0.213 0.226 0.651
B: 0.414 0.747 0.233
B: 0.923 0.744 0.233

Values from the calculation:
Space group = P1, No. 1
Total magnetic moment = 0.00 μB per cell
ρ = 2.35 Mg/m³

---

Entry x
# MgBS

Crystalline MgBS at its relaxed geometry (PBE-GGA, Alexandria via LeMat-Bulk).

Unit cell a=5.254 b=3.235 c=10.456 alpha=90.00 beta=91.84 gamma=90.00
Sites, in units of the cell vectors:
B: 0.968 0.000 0.278
Mg: 0.304 0.000 0.901
S: 0.700 0.000 0.402
B: 0.032 0.500 0.222
Mg: 0.304 0.500 0.401
S: 0.300 0.500 0.098
B: 0.032 0.000 0.722
B: 0.968 0.500 0.778
Mg: 0.696 0.000 0.099
S: 0.700 0.500 0.902
Mg: 0.696 0.500 0.599
S: 0.300 0.000 0.598

Values from the calculation:
Space group = C2/m, No. 12
Total magnetic moment = 0.00 μB per cell
ρ = 2.51 Mg/m³

---

Entry y
# MgBS

Crystalline MgBS at its relaxed geometry (PBE-GGA, Alexandria via LeMat-Bulk).

Unit cell a=7.124 b=3.292 c=10.621 alpha=90.00 beta=131.79 gamma=90.00
Sites, in units of the cell vectors:
S: 0.466 0.000 0.948
B: 0.124 0.000 0.107
B: 0.205 0.500 0.188
Mg: 0.579 0.500 0.823
Mg: 0.107 0.000 0.327
Mg: 0.579 0.000 0.323
Mg: 0.107 0.500 0.827
S: 0.466 0.500 0.448
S: 0.879 0.500 0.361
S: 0.879 0.000 0.861
B: 0.124 0.500 0.607
B: 0.205 0.000 0.688

Values from the calculation:
Space group = Cm, No. 8
Total magnetic moment = 0.00 μB per cell
ρ = 2.40 Mg/m³

---

It is entry x that is the least stable of them.

---

Entry w
# MgBS3

Crystalline MgBS3 at its relaxed geometry (PBE-GGA, Alexandria via LeMat-Bulk).

Unit cell a=4.256 b=4.256 c=4.256 alpha=90.00 beta=90.00 gamma=90.00
Sites, in units of the cell vectors:
S: 0.000 0.500 0.000
S: 0.500 0.000 0.000
B: 0.000 0.000 0.000
S: 0.000 0.000 0.500
Mg: 0.500 0.500 0.500

Values from the calculation:
Space group = Pm-3m, No. 221
Total magnetic moment = 0.00 μB per cell
ρ = 2.83 Mg/m³

---

Entry x
# MgBS3

Crystalline MgBS3 at its relaxed geometry (PBE-GGA, Alexandria via LeMat-Bulk).

Unit cell a=3.183 b=6.697 c=9.380 alpha=99.75 beta=90.00 gamma=90.00
Sites, in units of the cell vectors:
S: 0.250 0.820 0.912
B: 0.250 0.188 0.209
S: 0.750 0.005 0.659
S: 0.750 0.180 0.088
Mg: 0.750 0.738 0.420
S: 0.750 0.562 0.652
S: 0.250 0.995 0.341
Mg: 0.250 0.262 0.580
B: 0.750 0.812 0.791
S: 0.250 0.438 0.348

Values from the calculation:
Space group = P2_1/m, No. 11
Total magnetic moment = 0.00 μB per cell
ρ = 2.21 Mg/m³

---

It is entry w that is the least stable of them.

---

Entry w
# Mg2BS

Crystalline Mg2BS at its relaxed geometry (PBE-GGA, Alexandria via LeMat-Bulk).

Unit cell a=6.505 b=6.505 c=5.681 alpha=55.07 beta=55.07 gamma=90.00
Sites, in units of the cell vectors:
B: 0.500 0.500 0.000
Mg: 0.375 0.386 0.750
Mg: 0.614 0.125 0.250
Mg: 0.875 0.864 0.750
B: 0.250 0.750 0.500
Mg: 0.136 0.625 0.250
S: 0.000 0.000 0.000
S: 0.750 0.250 0.500

Values from the calculation:
Space group = I-42d, No. 122
Total magnetic moment = 0.00 μB per cell
ρ = 2.15 Mg/m³

---

Entry x
# Mg2BS

Crystalline Mg2BS at its relaxed geometry (PBE-GGA, Alexandria via LeMat-Bulk).

Unit cell a=4.426 b=4.426 c=4.426 alpha=60.00 beta=60.00 gamma=60.00
Sites, in units of the cell vectors:
Mg: 0.750 0.750 0.750
B: 0.000 0.000 0.000
S: 0.500 0.500 0.500
Mg: 0.250 0.250 0.250

Values from the calculation:
Space group = Fm-3m, No. 225
Total magnetic moment = 0.00 μB per cell
ρ = 2.48 Mg/m³

---

It is entry x that is the least stable of them.

---

Entry w
# Mg2BSb

Crystalline Mg2BSb at its relaxed geometry (PBE-GGA, Alexandria via LeMat-Bulk).

Unit cell a=8.023 b=8.023 c=6.218 alpha=49.82 beta=49.82 gamma=90.00
Sites, in units of the cell vectors:
B: 0.500 0.500 0.000
Mg: 0.506 0.125 0.250
Mg: 0.375 0.494 0.750
Sb: 0.750 0.250 0.500
B: 0.250 0.750 0.500
Sb: 0.000 0.000 0.000
Mg: 0.244 0.625 0.250
Mg: 0.875 0.756 0.750

Values from the calculation:
Space group = I-42d, No. 122
Total magnetic moment = 0.00 μB per cell
ρ = 3.67 Mg/m³

---

Entry x
# Mg2BSb

Crystalline Mg2BSb at its relaxed geometry (PBE-GGA, Alexandria via LeMat-Bulk).

Unit cell a=4.767 b=4.767 c=4.767 alpha=60.00 beta=60.00 gamma=60.00
Sites, in units of the cell vectors:
Sb: 0.500 0.500 0.500
Mg: 0.750 0.750 0.750
B: 0.000 0.000 0.000
Mg: 0.250 0.250 0.250

Values from the calculation:
Space group = Fm-3m, No. 225
Total magnetic moment = 0.00 μB per cell
ρ = 3.93 Mg/m³

---

It is entry x that is the least stable of them.

---

Entry w
# MgB2Sb

Crystalline MgB2Sb at its relaxed geometry (PBE-GGA, Alexandria via LeMat-Bulk).

Unit cell a=4.365 b=4.365 c=4.365 alpha=60.00 beta=60.00 gamma=60.00
Sites, in units of the cell vectors:
Sb: 0.500 0.500 0.500
Mg: 0.000 0.000 0.000
B: 0.750 0.750 0.750
B: 0.250 0.250 0.250

Values from the calculation:
Space group = Fm-3m, No. 225
Total magnetic moment = 0.00 μB per cell
ρ = 4.74 Mg/m³

---

Entry x
# MgB2Sb

Crystalline MgB2Sb at its relaxed geometry (PBE-GGA, Alexandria via LeMat-Bulk).

Unit cell a=5.698 b=5.698 c=6.168 alpha=62.49 beta=62.49 gamma=90.00
Sites, in units of the cell vectors:
Sb: 0.750 0.250 0.500
Mg: 0.500 0.500 0.000
B: 0.647 0.125 0.250
Mg: 0.250 0.750 0.500
B: 0.875 0.897 0.750
B: 0.103 0.625 0.250
B: 0.375 0.353 0.750
Sb: 0.000 0.000 0.000

Values from the calculation:
Space group = I-42d, No. 122
Total magnetic moment = 0.00 μB per cell
ρ = 3.67 Mg/m³

---

It is entry w that is the least stable of them.

---

Entry w
# MgBSb

Crystalline MgBSb at its relaxed geometry (PBE-GGA, Alexandria via LeMat-Bulk).

Unit cell a=3.092 b=3.352 c=11.721 alpha=90.01 beta=81.62 gamma=87.39
Sites, in units of the cell vectors:
B: 0.759 0.000 0.984
B: 0.241 0.000 0.016
Mg: 0.680 0.504 0.129
Mg: 0.320 0.496 0.871
Sb: 0.933 0.496 0.647
Sb: 0.067 0.504 0.353

Values from the calculation:
Space group = P-1, No. 2
Total magnetic moment = 0.00 μB per cell
ρ = 4.34 Mg/m³

---

Entry x
# MgBSb

Crystalline MgBSb at its relaxed geometry (PBE-GGA, Alexandria via LeMat-Bulk).

Unit cell a=3.112 b=4.013 c=9.585 alpha=90.00 beta=100.20 gamma=90.00
Sites, in units of the cell vectors:
B: 0.603 0.000 0.211
Mg: 0.207 0.000 0.415
Sb: 0.920 0.000 0.863
Sb: 0.797 0.500 0.609
Mg: 0.537 0.500 0.081
B: 0.078 0.000 0.166

Values from the calculation:
Space group = Pm, No. 6
Total magnetic moment = 0.00 μB per cell
ρ = 4.42 Mg/m³

---

It is entry x that is the least stable of them.